The following is a PBE calculation of a relaxed ZrTl2Cr crystal, from Alexandria.

extended XYZ file:
```
4
Lattice="-4.291 -1.941 3.695 -1.400 -3.655 4.529 -0.001 2.171 4.463" Properties=species:S:1:pos:R:3 pbc="T T T"
Cr -1.371 -0.784 3.142
Zr -2.946 -1.851 6.406
Tl -5.622 -5.504 8.176
Tl -4.287 -2.592 9.532
```

## Properties
Spin magnetization in Bohr magnetons per cell: 2.92
Calculated total energy in eV per atom: -5.3838
Energy relative to the elements in meV/atom: 342.2
Energy relative to the lowest polymorph listed for this composition in meV per atom: 53


The following is a PBE calculation of a relaxed ZrTlCr2 crystal, from Alexandria.

extended XYZ file:
```
8
Lattice="-3.196 -3.843 -5.577 -1.170 -5.761 4.640 -4.836 -3.668 0.270" Properties=species:S:1:pos:R:3 pbc="T T T"
Zr -4.094 -7.116 2.221
Zr -2.183 -4.802 -0.469
Tl -5.108 -6.157 -2.888
Tl 0.000 0.000 0.000
Cr -5.268 -6.370 -0.135
Cr -3.344 -4.028 -2.822
Cr -7.444 -11.138 -0.631
Cr -2.349 -5.009 2.254
```

## Properties
Spin magnetization in Bohr magnetons per cell: 13.62
Calculated total energy in eV per atom: -6.6691
Energy relative to the elements in meV/atom: 871.2
Energy relative to the lowest polymorph listed for this composition in meV per atom: 672


The following is a PBE calculation of a relaxed Zr2TlCr crystal, from Alexandria.

extended XYZ file:
```
4
Lattice="-4.482 -1.508 7.894 -3.464 -4.556 7.205 -1.455 -2.462 8.746" Properties=species:S:1:pos:R:3 pbc="T T T"
Zr -9.272 -8.407 23.515
Zr -4.831 -4.381 12.254
Tl -7.052 -6.394 17.884
Cr -2.351 -2.131 5.961
```

## Properties
Spin magnetization in Bohr magnetons per cell: 0.00
Calculated total energy in eV per atom: -7.0602
Energy relative to the elements in meV/atom: 211.3
Energy relative to the lowest polymorph listed for this composition in meV per atom: 161


The following is a PBE calculation of a relaxed ZrTl2Cr crystal, from Alexandria.

extended XYZ file:
```
4
Lattice="-1.590 -8.941 3.486 0.693 -7.900 5.633 -2.487 -7.148 6.111" Properties=species:S:1:pos:R:3 pbc="T T T"
Tl -0.018 -0.127 0.081
Tl -1.674 -11.867 7.534
Cr -2.538 -17.992 11.423
Zr -0.846 -5.997 3.808
```

## Properties
Spin magnetization in Bohr magnetons per cell: 3.39
Calculated total energy in eV per atom: -5.3708
Energy relative to the elements in meV/atom: 355.2
Energy relative to the lowest polymorph listed for this composition in meV per atom: 66


The following is a PBE calculation of a relaxed ZrTlCr4 crystal, from Alexandria.

extended XYZ file:
```
6
Lattice="0.000 3.557 3.557 3.557 0.000 3.557 3.557 3.557 0.000" Properties=species:S:1:pos:R:3 pbc="T T T"
Tl 5.335 5.335 5.335
Cr 2.675 2.675 2.675
Cr 4.438 4.438 2.675
Cr 2.675 4.438 4.438
Cr 4.438 2.675 4.438
Zr 0.000 0.000 0.000
```

## Properties
Spin magnetization in Bohr magnetons per cell: 0.00
Calculated total energy in eV per atom: -7.9784
Energy relative to the elements in meV/atom: 256.2


The following is a PBE calculation of a relaxed ZrTlCr crystal, from Alexandria.

extended XYZ file:
```
3
Lattice="-1.819 -0.161 4.244 -2.735 -3.522 1.209 1.493 -3.147 3.035" Properties=species:S:1:pos:R:3 pbc="T T T"
Cr -2.296 -5.123 6.366
Zr -1.531 -3.416 4.244
Tl 0.000 0.000 0.000
```

## Properties
Spin magnetization in Bohr magnetons per cell: 5.01
Calculated total energy in eV per atom: -6.2819
Energy relative to the elements in meV/atom: 564.0
Energy relative to the lowest polymorph listed for this composition in meV per atom: 303


The following is a PBE calculation of a relaxed ZrTl2Cr crystal, from Alexandria.

extended XYZ file:
```
4
Lattice="5.317 -0.001 0.000 1.539 5.089 0.000 -3.428 -2.544 3.170" Properties=species:S:1:pos:R:3 pbc="T T T"
Tl 0.000 0.000 0.000
Tl 3.428 2.544 0.000
Zr 0.769 2.545 1.585
Cr 2.659 0.000 1.585
```

## Properties
Spin magnetization in Bohr magnetons per cell: 2.33
Calculated total energy in eV per atom: -5.3896
Energy relative to the elements in meV/atom: 336.4
Energy relative to the lowest polymorph listed for this composition in meV per atom: 48


The following is a PBE calculation of a relaxed ZrTlCr2 crystal, from Alexandria.

extended XYZ file:
```
4
Lattice="-2.149 3.264 3.076 -3.720 3.285 0.316 -3.858 -2.777 2.175" Properties=species:S:1:pos:R:3 pbc="T T T"
Tl -2.432 0.943 1.392
Cr -4.875 1.860 2.790
Cr -3.847 -2.751 2.169
Zr -7.296 2.829 4.175
```

## Properties
Spin magnetization in Bohr magnetons per cell: 5.72
Calculated total energy in eV per atom: -6.9727
Energy relative to the elements in meV/atom: 567.6
Energy relative to the lowest polymorph listed for this composition in meV per atom: 368


Q: Which of these has the highest calculated total energy?
A: number 4